No. 1
Li2PrSmAu4 | GGA-PBE | optimized geometry

The density of states at the Fermi level comes out at 14.26 states/eV/cell. The formation energy from the elements is -0.701 eV/atom.

The structure belongs to space group R-3m (No. 166, hexagonal axes); the cell edges are 4.6090, 4.6090 and 28.3439 Å and the angles 90.00°, 90.00° and 120.00°. The distinct sites, in fractional coordinates, are Li at (0.0000, 0.0000, 0.2481), Pr at (0.0000, 0.0000, 0.0000), Sm at (0.0000, 0.0000, 0.5000), Au at (0.0000, 0.0000, 0.1110) and Au at (0.0000, 0.0000, 0.3922).


No. 2
PmAl2GaAu5 | GGA-PBE | optimized geometry

The density of states at the Fermi level comes out at 6.29 states/eV/cell. The formation energy from the elements is -0.300 eV/atom.

The structure belongs to space group Immm (No. 71); the cell edges are 4.7392, 5.9809 and 13.5750 Å and the angles 90.00°, 90.00° and 90.00°. The distinct sites, in fractional coordinates, are Pm at (0.0000, 0.0000, 0.0000), Al at (0.0000, 0.5000, 0.1874), Ga at (0.0000, 0.0000, 0.5000), Au at (0.0000, 0.2592, 0.3406) and Au at (0.0000, 0.5000, 0.0000).


No. 3
RbIO4 | GGA-PBE | optimized geometry

The value obtained for the uncorrected formation energy is -620 meV per atom.

The structure belongs to space group P2_1/c (No. 14); the cell edges are 6.5857, 5.3875 and 5.3693 Å and the angles 90.00°, 90.79° and 90.00°. The distinct sites, in fractional coordinates, are Rb at (0.0000, 0.0000, 0.0000), I at (0.5000, 0.0000, 0.5000), O at (0.2330, 0.0818, 0.5100) and O at (0.4193, 0.7004, 0.7029).


Question: What is the formula in the third record?
Answer: RbIO4